# 1
First-principles (PBE) data for crystalline KAsPt2 at its relaxed geometry, as listed in the Alexandria database.

Unit cell a=4.2663 b=4.2663 c=4.1241 alpha=90.00 beta=90.00 gamma=90.00
With the nearest neighbours (Å) after each atom.
Positions (direct):
K  0.0000  0.0000  0.0000  8 Pt 2.97, 4 As 3.02
As  0.5000  0.5000  0.0000  8 Pt 2.97, 4 K 3.02
Pt  0.0000  0.5000  0.5000  4 As 2.97, 4 K 2.97, 4 Pt 3.02
Pt  0.5000  0.0000  0.5000  4 As 2.97, 4 K 2.97, 4 Pt 3.02

Computed properties:
The calculation puts the density of states at the Fermi level at 1.95 states/eV/f.u.



# 2
First-principles (PBE) data for crystalline BeAg3 at its relaxed geometry, as listed in the Alexandria database.

Unit cell a=5.3009 b=5.3009 c=5.3009 alpha=147.19 beta=129.12 gamma=61.88
With the nearest neighbours (Å) after each atom.
Positions (direct):
Be  0.0000  0.0000  0.0000  4 Ag 2.43
Ag  0.2101  0.7101  0.5000  2 Be 2.43
Ag  0.5000  0.5000  0.0000  4 Be 2.73, 10 Ag 2.97-3.03
Ag  0.7899  0.2899  0.5000  2 Be 2.43

Computed properties:
The calculation puts the density of states at the Fermi level at 0.92 states/eV/f.u.



Table of energy of formation from the pure elements (kJ/mol of formula units), in record order: 114 53